Computed, not measured: an optimized crystal structure of Nb4InSbC2 at the PBE-GGA level of DFT.

abc: 3.2818 3.2818 13.8198
angles: 90.00 90.00 120.00
Space group P-6m2 (No. 187)
One atom of each set of equivalent atoms:
Nb (0.0000, 0.0000, 0.1603) x2
Nb (0.6667, 0.3333, 0.3273) x2
In (0.0000, 0.0000, 0.5000) x1
Sb (0.6667, 0.3333, 0.0000) x1
C (0.3333, 0.6667, 0.2448) x2

## Properties
E   -8.601 eV per atom
V   16.1 A^3/atom
Total magnetization   0.003 μB/cell

=====

Computed, not measured: an optimized crystal structure of Sc4Nb2In3C3 at the PBE-GGA level of DFT.

abc: 9.896 5.733 15.252
angles: 90.00 102.91 90.00
Space group C2/c (No. 15)
One atom of each set of equivalent atoms:
Sc (0.112, 0.074, 0.084) x8
Sc (0.216, 0.089, 0.416) x8
Nb (0.062, 0.413, 0.926) x8
In (0.000, 0.108, 0.750) x4
In (0.155, 0.425, 0.248) x8
C (0.079, 0.263, 0.500) x8
C (0.250, 0.250, 0.000) x4

## Properties
E   -7.341 eV per atom
V   17.6 A^3/atom
Total magnetization   0.003 μB/cell

=====

Computed, not measured: an optimized crystal structure of Sc2Nb4In3C3 at the PBE-GGA level of DFT.

abc: 9.775 5.645 14.899
angles: 90.00 102.72 90.00
Space group C2/c (No. 15)
One atom of each set of equivalent atoms:
Sc (0.050, 0.080, 0.411) x8
Nb (0.109, 0.409, 0.578) x8
Nb (0.228, 0.421, 0.922) x8
In (0.000, 0.439, 0.250) x4
In (0.178, 0.094, 0.752) x8
C (0.085, 0.256, 0.000) x8
C (0.250, 0.250, 0.500) x4

## Properties
E   -7.923 eV per atom
V   16.7 A^3/atom
Total magnetization   0.024 μB/cell

=====

Computed, not measured: an optimized crystal structure of Nb4InC2Se at the PBE-GGA level of DFT.

abc: 3.2748 3.2748 13.3333
angles: 90.00 90.00 120.00
Space group P-6m2 (No. 187)
One atom of each set of equivalent atoms:
Nb (0.0000, 0.0000, 0.1465) x2
Nb (0.3333, 0.6667, 0.3196) x2
In (0.0000, 0.0000, 0.5000) x1
C (0.6667, 0.3333, 0.2351) x2
Se (0.3333, 0.6667, 0.0000) x1

## Properties
E   -8.646 eV per atom
V   15.5 A^3/atom
Total magnetization   0.002 μB/cell

=====

What is the formula in the second record?
Sc4Nb2In3C3

=====

What is the V in the second record?
17.6 A^3/atom

=====

Among the records above, which one has the highest total magnetization?
Sc2Nb4In3C3

=====

Which of these has the lowest V?
Nb4InC2Se